P.
CsK4Rb5: optimized geometry, PBE-GGA.

Lattice parameters (Å, degrees): 14.1012 14.1012 8.9315 90.00 90.00 90.00
Space group I4 (No. 79)
One atom of each set of equivalent atoms:
Cs1 0.0000 0.0000 0.0000 [2 per cell]
K1 0.1438 0.7539 0.2835 [8 per cell]
Rb1 0.0000 0.0000 0.5273 [2 per cell]
Rb2 0.0604 0.6569 0.7758 [8 per cell]

Total magnetization in Bohr magnetons per cell: 0.00



Q.
CsK4Rb5: optimized geometry, PBE-GGA.

Lattice parameters (Å, degrees): 5.1563 5.1563 32.1066 90.00 90.00 90.00
Space group P4/mmm (No. 123)
One atom of each set of equivalent atoms:
Cs1 0.0000 0.0000 0.0000 [1 per cell]
K1 0.0000 0.0000 0.2133 [2 per cell]
K2 0.0000 0.0000 0.4041 [2 per cell]
Rb1 0.5000 0.5000 0.1182 [2 per cell]
Rb2 0.5000 0.5000 0.3084 [2 per cell]
Rb3 0.5000 0.5000 0.5000 [1 per cell]

Total magnetization in Bohr magnetons per cell: 0.00



Least stable of them? P.



P.
CsK2RbS: optimized geometry, PBE-GGA.

Lattice parameters (Å, degrees): 6.4972 6.4972 6.7673 90.00 90.00 90.00
Space group P4/mmm (No. 123)
One atom of each set of equivalent atoms:
Cs1 0.0000 0.0000 0.0000 [1 per cell]
K1 0.0000 0.5000 0.5000 [2 per cell]
Rb1 0.5000 0.5000 0.0000 [1 per cell]
S1 0.5000 0.5000 0.5000 [1 per cell]

Total magnetization in Bohr magnetons per cell: 0.00



Q.
CsK2RbS: optimized geometry, PBE-GGA.

Lattice parameters (Å, degrees): 6.4440 6.4440 6.9939 90.00 90.00 90.00
Space group P4/mmm (No. 123)
One atom of each set of equivalent atoms:
Cs1 0.0000 0.0000 0.0000 [1 per cell]
K1 0.0000 0.5000 0.5000 [2 per cell]
Rb1 0.5000 0.5000 0.0000 [1 per cell]
S1 0.0000 0.0000 0.5000 [1 per cell]

Total magnetization in Bohr magnetons per cell: 0.00



Least stable of them? P.



P.
CsKRb2Se: optimized geometry, PBE-GGA.

Lattice parameters (Å, degrees): 6.8476 6.8476 7.1703 90.00 90.00 90.00
Space group P4/mmm (No. 123)
One atom of each set of equivalent atoms:
Cs1 0.0000 0.0000 0.0000 [1 per cell]
K1 0.5000 0.5000 0.0000 [1 per cell]
Rb1 0.0000 0.5000 0.5000 [2 per cell]
Se1 0.0000 0.0000 0.5000 [1 per cell]

Total magnetization in Bohr magnetons per cell: 0.00



Q.
CsKRb2Se: optimized geometry, PBE-GGA.

Lattice parameters (Å, degrees): 6.9584 6.9584 6.6454 90.00 90.00 90.00
Space group P4/mmm (No. 123)
One atom of each set of equivalent atoms:
Cs1 0.0000 0.0000 0.0000 [1 per cell]
K1 0.5000 0.5000 0.0000 [1 per cell]
Rb1 0.0000 0.5000 0.5000 [2 per cell]
Se1 0.5000 0.5000 0.5000 [1 per cell]

Total magnetization in Bohr magnetons per cell: 0.00



Least stable of them? Q.



P.
CsK2RbSe: optimized geometry, PBE-GGA.

Lattice parameters (Å, degrees): 6.6520 6.6520 6.9379 90.00 90.00 90.00
Space group P4/mmm (No. 123)
One atom of each set of equivalent atoms:
Cs1 0.0000 0.0000 0.0000 [1 per cell]
K1 0.0000 0.5000 0.5000 [2 per cell]
Rb1 0.5000 0.5000 0.0000 [1 per cell]
Se1 0.5000 0.5000 0.5000 [1 per cell]

Total magnetization in Bohr magnetons per cell: 0.00



Q.
CsK2RbSe: optimized geometry, PBE-GGA.

Lattice parameters (Å, degrees): 6.6026 6.6026 7.1844 90.00 90.00 90.00
Space group P4/mmm (No. 123)
One atom of each set of equivalent atoms:
Cs1 0.0000 0.0000 0.0000 [1 per cell]
K1 0.0000 0.5000 0.5000 [2 per cell]
Rb1 0.5000 0.5000 0.0000 [1 per cell]
Se1 0.0000 0.0000 0.5000 [1 per cell]

Total magnetization in Bohr magnetons per cell: 0.00



Least stable of them? P.